(1)
# PBE CsPmSb4, relaxed
# - Energy: -3.85 eV per atom
# - Fermi-level density of states: 0.76 states/eV/atom
# - Formation energy (no corrections): -170 meV per atom
data_CsPmSb4
_chemical_formula_sum 'Cs4 Pm4 Sb16'
_cell_length_a 9.1713
_cell_length_b 9.1713
_cell_length_c 9.1713
_cell_angle_alpha 90.00
_cell_angle_beta 90.00
_cell_angle_gamma 90.00
_space_group_name_H-M_alt 'F -4 3 m'
_space_group_IT_number 216
_space_group_name_Hall 'F -4 2 3'
loop_
_atom_site_label
_atom_site_type_symbol
_atom_site_fract_x
_atom_site_fract_y
_atom_site_fract_z
Cs1 Cs 0.0000 0.0000 0.0000
Pm1 Pm 0.2500 0.2500 0.2500
Sb1 Sb 0.1233 0.1233 0.6233



(2)
# PBE Rb2ReBr5O, relaxed
# - Energy: -4.20 eV per atom
# - Formation energy (no corrections): -1127 meV per atom
data_Rb2ReBr5O
_chemical_formula_sum 'Rb4 Re2 Br10 O2'
_cell_length_a 7.8075
_cell_length_b 7.8075
_cell_length_c 9.9521
_cell_angle_alpha 90.00
_cell_angle_beta 90.00
_cell_angle_gamma 90.00
_space_group_name_H-M_alt 'I 4 m m'
_space_group_IT_number 107
_space_group_name_Hall 'I 4 -2'
loop_
_atom_site_label
_atom_site_type_symbol
_atom_site_fract_x
_atom_site_fract_y
_atom_site_fract_z
Rb1 Rb 0.0000 0.5000 0.0000
Re1 Re 0.0000 0.0000 0.2288
Br1 Br 0.0000 0.0000 0.4941
Br2 Br 0.2316 0.2316 0.2493
O1 O 0.0000 0.0000 0.0577



(3)
# PBE Ti3ZnBi, relaxed
# - Energy: -5.60 eV per atom
# - Fermi-level density of states: 1.02 states/eV/atom
# - ΔE_f: 0.17 eV/atom
data_Ti3ZnBi
_chemical_formula_sum 'Ti12 Zn4 Bi4'
_cell_length_a 5.3564
_cell_length_b 14.9661
_cell_length_c 5.1215
_cell_angle_alpha 90.00
_cell_angle_beta 90.00
_cell_angle_gamma 90.00
_space_group_name_H-M_alt 'C m c m'
_space_group_IT_number 63
_space_group_name_Hall '-C 2c 2'
loop_
_atom_site_label
_atom_site_type_symbol
_atom_site_fract_x
_atom_site_fract_y
_atom_site_fract_z
Ti1 Ti 0.0000 0.0000 0.0000
Ti2 Ti 0.2430 0.1491 0.2500
Zn1 Zn 0.0000 0.4853 0.2500
Bi1 Bi 0.0000 0.1794 0.7500



(4)
# PBE BiSbS3, relaxed
# - Energy: -4.30 eV per atom
# - Formation energy (no corrections): -220 meV per atom
data_BiSbS3
_chemical_formula_sum 'Bi4 Sb4 S12'
_cell_length_a 17.4541
_cell_length_b 3.9019
_cell_length_c 8.0134
_cell_angle_alpha 90.00
_cell_angle_beta 100.36
_cell_angle_gamma 90.00
_space_group_name_H-M_alt 'C 1 2/m 1'
_space_group_IT_number 12
loop_
_space_group_symop_operation_xyz
'x,y,z'
'-x,-y,-z'
'-x,y,-z'
'x,-y,z'
'x+1/2,y+1/2,z'
'-x+1/2,-y+1/2,-z'
'-x+1/2,y+1/2,-z'
'x+1/2,-y+1/2,z'
loop_
_atom_site_label
_atom_site_type_symbol
_atom_site_fract_x
_atom_site_fract_y
_atom_site_fract_z
Bi1 Bi 0.2252 0.0000 0.2381
Sb1 Sb 0.0563 0.5000 0.6999
S1 S 0.0240 0.0000 0.2247
S2 S 0.1629 0.5000 0.9606
S3 S 0.1833 0.0000 0.5968



(5)
# PBE ScTa2Re, relaxed
# - Energy: -10.63 eV per atom
# - Fermi-level density of states: 0.93 states/eV/atom
# - ΔE_f: -0.01 eV/atom
data_ScTa2Re
_chemical_formula_sum 'Sc1 Ta2 Re1'
_cell_length_a 2.8526
_cell_length_b 4.6023
_cell_length_c 5.5133
_cell_angle_alpha 90.00
_cell_angle_beta 100.96
_cell_angle_gamma 90.00
_space_group_name_H-M_alt 'P 1 m 1'
_space_group_IT_number 6
loop_
_space_group_symop_operation_xyz
'x,y,z'
'x,-y,z'
loop_
_atom_site_label
_atom_site_type_symbol
_atom_site_fract_x
_atom_site_fract_y
_atom_site_fract_z
Sc1 Sc 0.0000 0.0000 0.0000
Ta1 Ta 0.4295 0.0000 0.5176
Ta2 Ta 0.7015 0.5000 0.2556
Re1 Re 0.2269 0.5000 0.7490



(6)
# PBE BeHg2P, relaxed
# - Energy: -1.90 eV per atom
# - Fermi-level density of states: 0.39 states/eV/atom
# - ΔE_f: 0.54 eV/atom
data_BeHg2P
_chemical_formula_sum 'Be4 Hg8 P4'
_cell_length_a 4.5068
_cell_length_b 4.5068
_cell_length_c 16.0236
_cell_angle_alpha 90.00
_cell_angle_beta 90.00
_cell_angle_gamma 90.00
_space_group_name_H-M_alt 'I -4 2 d'
_space_group_IT_number 122
_space_group_name_Hall 'I -4 2bw'
loop_
_atom_site_label
_atom_site_type_symbol
_atom_site_fract_x
_atom_site_fract_y
_atom_site_fract_z
Be1 Be 0.0000 0.0000 0.0000
Hg1 Hg 0.2138 0.2500 0.1250
P1 P 0.0000 0.0000 0.5000



(7)
# PBE NaLiZr4S8, relaxed
# - Energy: -6.41 eV per atom
# - Fermi-level density of states: 0.52 states/eV/atom
# - Formation energy (no corrections): -1381 meV per atom
data_NaLiZr4S8
_chemical_formula_sum 'Na3 Li3 Zr12 S24'
_cell_length_a 7.5513
_cell_length_b 7.5513
_cell_length_c 19.5457
_cell_angle_alpha 90.00
_cell_angle_beta 90.00
_cell_angle_gamma 120.00
_space_group_name_H-M_alt 'R 3 m'
_space_group_IT_number 160
_space_group_name_Hall 'R 3 -2"'
loop_
_atom_site_label
_atom_site_type_symbol
_atom_site_fract_x
_atom_site_fract_y
_atom_site_fract_z
Na1 Na 0.0000 0.0000 0.0000
Li1 Li 0.0000 0.0000 0.3553
Zr1 Zr 0.0000 0.0000 0.7485
Zr2 Zr 0.0125 0.5063 0.8720
S1 S 0.0000 0.0000 0.1314
S2 S 0.0000 0.0000 0.6176
S3 S 0.0218 0.5109 0.1211
S4 S 0.1777 0.3554 0.9435



(8)
# PBE NaTl3Sn3, relaxed
# - Energy: -2.65 eV per atom
# - Fermi-level density of states: 0.83 states/eV/atom
# - ΔE_f: 0.27 eV/atom
data_NaTl3Sn3
_chemical_formula_sum 'Na2 Tl6 Sn6'
_cell_length_a 8.3024
_cell_length_b 8.3024
_cell_length_c 8.3024
_cell_angle_alpha 90.00
_cell_angle_beta 90.00
_cell_angle_gamma 90.00
_space_group_name_H-M_alt 'P m -3 n'
_space_group_IT_number 223
_space_group_name_Hall '-P 4n 2 3'
loop_
_atom_site_label
_atom_site_type_symbol
_atom_site_fract_x
_atom_site_fract_y
_atom_site_fract_z
Na1 Na 0.0000 0.0000 0.0000
Tl1 Tl 0.0000 0.2500 0.5000
Sn1 Sn 0.0000 0.5000 0.2500



(9)
# PBE FeTc2Hg, relaxed
# - Energy: -6.91 eV per atom
# - Fermi-level density of states: 0.96 states/eV/atom
# - ΔE_f: 0.46 eV/atom
data_FeTc2Hg
_chemical_formula_sum 'Fe2 Tc4 Hg2'
_cell_length_a 2.8332
_cell_length_b 4.5075
_cell_length_c 9.6967
_cell_angle_alpha 90.00
_cell_angle_beta 90.00
_cell_angle_gamma 90.00
_space_group_name_H-M_alt 'I m m m'
_space_group_IT_number 71
_space_group_name_Hall '-I 2 2'
loop_
_atom_site_label
_atom_site_type_symbol
_atom_site_fract_x
_atom_site_fract_y
_atom_site_fract_z
Fe1 Fe 0.0000 0.0000 0.0000
Tc1 Tc 0.0000 0.5000 0.2836
Hg1 Hg 0.0000 0.0000 0.5000



(10)
# PBE PrHo12Er7, relaxed
# - Energy: -4.34 eV per atom
# - Fermi-level density of states: 1.72 states/eV/atom
# - ΔE_f: 0.24 eV/atom
data_PrHo12Er7
_chemical_formula_sum 'Pr3 Ho36 Er21'
_cell_length_a 11.9172
_cell_length_b 11.9172
_cell_length_c 15.7718
_cell_angle_alpha 90.00
_cell_angle_beta 90.00
_cell_angle_gamma 120.00
_space_group_name_H-M_alt 'R -3'
_space_group_IT_number 148
_space_group_name_Hall '-R 3'
loop_
_atom_site_label
_atom_site_type_symbol
_atom_site_fract_x
_atom_site_fract_y
_atom_site_fract_z
Pr1 Pr 0.0000 0.0000 0.0000
Ho1 Ho 0.0211 0.5710 0.2175
Ho2 Ho 0.0514 0.8619 0.2945
Er1 Er 0.0000 0.0000 0.5000
Er2 Er 0.0469 0.4606 0.5839



(11)
# PBE RbScIn2, relaxed
# - Energy: -2.90 eV per atom
# - Fermi-level density of states: 0.73 states/eV/atom
# - ΔE_f: 0.30 eV/atom
data_RbScIn2
_chemical_formula_sum 'Rb4 Sc4 In8'
_cell_length_a 5.9355
_cell_length_b 5.9355
_cell_length_c 20.3697
_cell_angle_alpha 90.00
_cell_angle_beta 90.00
_cell_angle_gamma 90.00
_space_group_name_H-M_alt 'I -4 2 d'
_space_group_IT_number 122
_space_group_name_Hall 'I -4 2bw'
loop_
_atom_site_label
_atom_site_type_symbol
_atom_site_fract_x
_atom_site_fract_y
_atom_site_fract_z
Rb1 Rb 0.0000 0.0000 0.0000
Sc1 Sc 0.0000 0.0000 0.5000
In1 In 0.0027 0.2500 0.6250



(12)
# PBE Pm4Sm2Tm5, relaxed
# - Energy: -4.56 eV per atom
# - Fermi-level density of states: 1.65 states/eV/atom
# - ΔE_f: 0.05 eV/atom
data_Pm4Sm2Tm5
_chemical_formula_sum 'Pm4 Sm2 Tm5'
_cell_length_a 3.5678
_cell_length_b 8.6121
_cell_length_c 11.7481
_cell_angle_alpha 89.50
_cell_angle_beta 83.06
_cell_angle_gamma 89.49
_space_group_name_H-M_alt 'P -1'
_space_group_IT_number 2
loop_
_space_group_symop_operation_xyz
'x,y,z'
'-x,-y,-z'
loop_
_atom_site_label
_atom_site_type_symbol
_atom_site_fract_x
_atom_site_fract_y
_atom_site_fract_z
Pm1 Pm 0.0124 0.2046 0.4716
Pm2 Pm 0.1233 0.2557 0.1773
Sm1 Sm 0.1564 0.6477 0.0978
Tm1 Tm 0.4008 0.0743 0.7173
Tm2 Tm 0.4520 0.4723 0.6498
Tm3 Tm 0.5000 0.0000 0.0000



(13)
# PBE FeTe2Rh, relaxed
# - Energy: -4.87 eV per atom
# - Fermi-level density of states: 1.04 states/eV/atom
# - Formation energy (no corrections): 655 meV per atom
data_FeTe2Rh
_chemical_formula_sum 'Fe4 Te8 Rh4'
_cell_length_a 6.8524
_cell_length_b 6.8524
_cell_length_c 6.8524
_cell_angle_alpha 90.00
_cell_angle_beta 90.00
_cell_angle_gamma 90.00
_space_group_name_H-M_alt 'F -4 3 m'
_space_group_IT_number 216
_space_group_name_Hall 'F -4 2 3'
loop_
_atom_site_label
_atom_site_type_symbol
_atom_site_fract_x
_atom_site_fract_y
_atom_site_fract_z
Fe1 Fe 0.0000 0.0000 0.0000
Te1 Te 0.0000 0.0000 0.5000
Te2 Te 0.2500 0.2500 0.2500
Rh1 Rh 0.2500 0.2500 0.7500



(14)
# PBE WSeS3, relaxed
# - Energy: -4.33 eV per atom
# - Fermi-level density of states: 0.85 states/eV/atom
# - Formation energy (no corrections): 1431 meV per atom
data_WSeS3
_chemical_formula_sum 'W1 Se1 S3'
_cell_length_a 4.6740
_cell_length_b 4.6740
_cell_length_c 4.6740
_cell_angle_alpha 90.00
_cell_angle_beta 90.00
_cell_angle_gamma 90.00
_space_group_name_H-M_alt 'P m -3 m'
_space_group_IT_number 221
_space_group_name_Hall '-P 4 2 3'
loop_
_atom_site_label
_atom_site_type_symbol
_atom_site_fract_x
_atom_site_fract_y
_atom_site_fract_z
W1 W 0.0000 0.0000 0.0000
Se1 Se 0.5000 0.5000 0.5000
S1 S 0.0000 0.5000 0.5000



(15)
# PBE Tb2GaGe2Rh5, relaxed
# - Energy: -6.63 eV per atom
# - Fermi-level density of states: 0.34 states/eV/atom
# - ΔE_f: -0.80 eV/atom
data_Tb2GaGe2Rh5
_chemical_formula_sum 'Tb4 Ga2 Ge4 Rh10'
_cell_length_a 9.7835
_cell_length_b 9.7835
_cell_length_c 3.5504
_cell_angle_alpha 90.00
_cell_angle_beta 90.00
_cell_angle_gamma 90.00
_space_group_name_H-M_alt 'P 4/m b m'
_space_group_IT_number 127
_space_group_name_Hall '-P 4 2ab'
loop_
_atom_site_label
_atom_site_type_symbol
_atom_site_fract_x
_atom_site_fract_y
_atom_site_fract_z
Tb1 Tb 0.1737 0.3263 0.0000
Ga1 Ga 0.0000 0.0000 0.0000
Ge1 Ge 0.1253 0.6253 0.0000
Rh1 Rh 0.0000 0.5000 0.5000
Rh2 Rh 0.0662 0.7943 0.5000



(16)
# PBE Cd5H, relaxed
# - Energy: -1.16 eV per atom
# - Fermi-level density of states: 0.29 states/eV/atom
data_Cd5H
_chemical_formula_sum 'Cd10 H2'
_cell_length_a 5.8562
_cell_length_b 13.0364
_cell_length_c 3.1558
_cell_angle_alpha 90.00
_cell_angle_beta 90.00
_cell_angle_gamma 90.00
_space_group_name_H-M_alt 'C m m m'
_space_group_IT_number 65
_space_group_name_Hall '-C 2 2'
loop_
_atom_site_label
_atom_site_type_symbol
_atom_site_fract_x
_atom_site_fract_y
_atom_site_fract_z
Cd1 Cd 0.0000 0.0000 0.0000
Cd2 Cd 0.0000 0.1908 0.5000
Cd3 Cd 0.0000 0.3841 0.0000
H1 H 0.0000 0.5000 0.5000



(17)
# PBE Er4TlPbN, relaxed
# - Energy: -5.47 eV per atom
# - Fermi-level density of states: 0.16 states/eV/atom
# - Formation energy (no corrections): -801 meV per atom
data_Er4TlPbN
_chemical_formula_sum 'Er16 Tl4 Pb4 N4'
_cell_length_a 6.6140
_cell_length_b 15.9629
_cell_length_c 6.6137
_cell_angle_alpha 90.00
_cell_angle_beta 90.00
_cell_angle_gamma 90.00
_space_group_name_H-M_alt 'C m c m'
_space_group_IT_number 63
_space_group_name_Hall '-C 2c 2'
loop_
_atom_site_label
_atom_site_type_symbol
_atom_site_fract_x
_atom_site_fract_y
_atom_site_fract_z
Er1 Er 0.0000 0.0877 0.2500
Er2 Er 0.0000 0.4074 0.2500
Er3 Er 0.2500 0.2500 0.0000
Tl1 Tl 0.0000 0.1095 0.7500
Pb1 Pb 0.0000 0.3939 0.7500
N1 N 0.0000 0.2519 0.2500



(18)
# PBE Na2SrAg2Hg2, relaxed
# - Energy: -1.74 eV per atom
# - Fermi-level density of states: 0.59 states/eV/atom
# - ΔE_f: -0.22 eV/atom
data_Na2SrAg2Hg2
_chemical_formula_sum 'Na6 Sr3 Ag6 Hg6'
_cell_length_a 4.9849
_cell_length_b 4.9849
_cell_length_c 26.1076
_cell_angle_alpha 90.00
_cell_angle_beta 90.00
_cell_angle_gamma 120.00
_space_group_name_H-M_alt 'R -3 m'
_space_group_IT_number 166
_space_group_name_Hall '-R 3 2"'
loop_
_atom_site_label
_atom_site_type_symbol
_atom_site_fract_x
_atom_site_fract_y
_atom_site_fract_z
Na1 Na 0.0000 0.0000 0.1360
Sr1 Sr 0.0000 0.0000 0.0000
Ag1 Ag 0.0000 0.0000 0.4112
Hg1 Hg 0.0000 0.0000 0.2595



(19)
# PBE RbAsIN2, relaxed
# - Energy: -2.65 eV per atom
# - Fermi-level density of states: 0.78 states/eV/atom
# - Formation energy (no corrections): 2113 meV per atom
data_RbAsIN2
_chemical_formula_sum 'Rb1 As1 I1 N2'
_cell_length_a 5.4642
_cell_length_b 5.4642
_cell_length_c 7.2620
_cell_angle_alpha 90.00
_cell_angle_beta 90.00
_cell_angle_gamma 90.00
_space_group_name_H-M_alt 'P 4/m m m'
_space_group_IT_number 123
_space_group_name_Hall '-P 4 2'
loop_
_atom_site_label
_atom_site_type_symbol
_atom_site_fract_x
_atom_site_fract_y
_atom_site_fract_z
Rb1 Rb 0.0000 0.0000 0.0000
As1 As 0.5000 0.5000 0.5000
I1 I 0.0000 0.0000 0.5000
N1 N 0.0000 0.5000 0.0000



(20)
# PBE TmTi2ReC4, relaxed
# - Energy: -8.98 eV per atom
# - Fermi-level density of states: 0.31 states/eV/atom
# - ΔE_f: -0.28 eV/atom
data_TmTi2ReC4
_chemical_formula_sum 'Tm4 Ti8 Re4 C16'
_cell_length_a 3.1684
_cell_length_b 11.2372
_cell_length_c 11.0607
_cell_angle_alpha 90.00
_cell_angle_beta 90.00
_cell_angle_gamma 90.00
_space_group_name_H-M_alt 'C m c m'
_space_group_IT_number 63
_space_group_name_Hall '-C 2c 2'
loop_
_atom_site_label
_atom_site_type_symbol
_atom_site_fract_x
_atom_site_fract_y
_atom_site_fract_z
Tm1 Tm 0.0000 0.1124 0.2500
Ti1 Ti 0.0000 0.3708 0.0335
Re1 Re 0.0000 0.1532 0.7500
C1 C 0.0000 0.0000 0.0000
C2 C 0.0000 0.2604 0.6133
C3 C 0.0000 0.4542 0.2500